Sr3CaU2N6 | PBE | relaxed

Properties
formation energy (no corrections) = -1.161 eV per atom
size of the total moment = 0.1622 μB per atom
calculated volume = 16.5 A^3/atom
crystal system = monoclinic
mass density = 7.23 Mg/m³

a b c (Å): 7.9797 7.9797 7.2861
angles (deg): 104.66 104.66 26.28
Last column: nearest neighbours and their distance in Å.
Sites, in units of the cell vectors:
Sr 0.0000 0.0000 0.0000  6 N 2.63-2.78
Sr 0.3366 0.3366 0.6649  6 N 2.58-2.84
Sr 0.6634 0.6634 0.3351  6 N 2.58-2.84
Ca 0.0000 0.0000 0.5000  6 N 2.51-2.57
U 0.3339 0.3339 0.1732  4 N 2.10-2.33
U 0.6661 0.6661 0.8268  4 N 2.10-2.33
N 0.1666 0.1666 0.6253  2 U 2.33, 1 Ca 2.51, 1 Sr 2.58
N 0.1840 0.1840 0.0574  3 U 2.26-2.44
N 0.4741 0.4741 0.2417  1 U 2.10
N 0.5259 0.5259 0.7583  1 U 2.10
N 0.8160 0.8160 0.9426  3 U 2.26-2.44
N 0.8334 0.8334 0.3747  2 U 2.33, 1 Ca 2.51, 1 Sr 2.58